Record 1
# Ta3SiSb, optimized geometry, DFT GGA-PBE
# Total energy   -41.08 eV for the cell shown
# Uncorrected formation energy   0.80 eV/atom
# DOS(E_F)   8.93 states/eV/f.u.
data_Ta3SiSb
_chemical_formula_sum 'Ta3 Si1 Sb1'
_cell_length_a 4.690
_cell_length_b 4.690
_cell_length_c 4.690
_cell_angle_alpha 90.00
_cell_angle_beta 90.00
_cell_angle_gamma 90.00
_symmetry_space_group_name_H-M 'P m -3 m'
_symmetry_Int_Tables_number 221
_symmetry_space_group_name_Hall '-P 4 2 3'
loop_
_atom_site_label
_atom_site_type_symbol
_atom_site_fract_x
_atom_site_fract_y
_atom_site_fract_z
_atom_site_occupancy
Ta1 Ta 0.000 0.000 0.500 1
Si1 Si 0.000 0.000 0.000 1
Sb1 Sb 0.500 0.500 0.500 1



Record 2
# ZrCdPt, optimized geometry, DFT GGA-PBE
# Total energy   -16.38 eV for the cell shown
# DOS(E_F)   2.11 states/eV/f.u.
# ΔE_f   -0.291 eV/atom
data_ZrCdPt
_chemical_formula_sum 'Zr1 Cd1 Pt1'
_cell_length_a 3.1289
_cell_length_b 3.1289
_cell_length_c 7.0438
_cell_angle_alpha 90.00
_cell_angle_beta 90.00
_cell_angle_gamma 120.00
_symmetry_space_group_name_H-M 'P 3 m 1'
_symmetry_Int_Tables_number 156
_symmetry_space_group_name_Hall 'P 3 -2"'
loop_
_atom_site_label
_atom_site_type_symbol
_atom_site_fract_x
_atom_site_fract_y
_atom_site_fract_z
_atom_site_occupancy
Zr1 Zr 0.0000 0.0000 0.0000 1
Cd1 Cd 0.6667 0.3333 0.3683 1
Pt1 Pt 0.3333 0.6667 0.6960 1



Record 3
# Pm3IBr7, optimized geometry, DFT GGA-PBE
# Total energy   -46.53 eV for the cell shown
# Uncorrected formation energy   -1.73 eV/atom
# DOS(E_F)   5.84 states/eV/f.u.
data_Pm3IBr7
_chemical_formula_sum 'Pm3 I1 Br7'
_cell_length_a 8.4931
_cell_length_b 8.4931
_cell_length_c 7.2485
_cell_angle_alpha 90.00
_cell_angle_beta 90.00
_cell_angle_gamma 120.00
_symmetry_space_group_name_H-M 'P 3 m 1'
_symmetry_Int_Tables_number 156
_symmetry_space_group_name_Hall 'P 3 -2"'
loop_
_atom_site_label
_atom_site_type_symbol
_atom_site_fract_x
_atom_site_fract_y
_atom_site_fract_z
_atom_site_occupancy
Pm1 Pm 0.1675 0.3350 0.0000 1
I1 I 0.0000 0.0000 0.7228 1
Br1 Br 0.0128 0.5064 0.7776 1
Br2 Br 0.3207 0.1604 0.2211 1
Br3 Br 0.3333 0.6667 0.2405 1